First-principles (PBE-GGA) data for an optimized crystal structure of PmEr4Ag2, as listed in the Alexandria database.

a b c (Å): 4.922 4.922 10.634
angles (deg): 76.62 76.62 60.00
Positions (direct):
Pm: 0.500 0.500 0.500
Er: 0.701 0.701 0.896
Er: 0.898 0.898 0.306
Er: 0.299 0.299 0.104
Er: 0.102 0.102 0.694
Ag: 0.602 0.602 0.193
Ag: 0.398 0.398 0.807

Computed properties:
For the uncorrected energy, the calculation gives -27.6 eV/cell. As for the formation enthalpy at 0 K: 0.16 eV per atom.

First-principles (PBE-GGA) data for an optimized crystal structure of TbYZn, as listed in the Alexandria database.

a b c (Å): 4.950 7.066 9.898
angles (deg): 90.00 90.00 90.00
Positions (direct):
Tb: 0.750 0.000 0.123
Tb: 0.250 0.500 0.377
Tb: 0.250 0.000 0.877
Tb: 0.750 0.500 0.623
Zn: 0.750 0.751 0.375
Zn: 0.250 0.251 0.125
Zn: 0.250 0.249 0.625
Zn: 0.750 0.749 0.875
Y: 0.750 0.500 0.126
Y: 0.250 0.000 0.374
Y: 0.250 0.500 0.874
Y: 0.750 0.000 0.626

Computed properties:
For the uncorrected energy, the calculation gives -49.3 eV/cell. As for the formation enthalpy at 0 K: 0.02 eV per atom.

First-principles (PBE-GGA) data for an optimized crystal structure of ReIr2Pt, as listed in the Alexandria database.

a b c (Å): 4.780 5.433 2.718
angles (deg): 75.28 90.51 116.24
Positions (direct):
Ir: 0.000 0.000 0.000
Ir: 0.500 0.000 0.500
Pt: 0.000 0.500 0.500
Re: 0.500 0.500 0.000

Computed properties:
For the uncorrected energy, the calculation gives -35.1 eV/cell. As for the formation enthalpy at 0 K: 0.27 eV per atom.

First-principles (PBE-GGA) data for an optimized crystal structure of LaNd3Te4, as listed in the Alexandria database.

a b c (Å): 4.484 7.851 7.851
angles (deg): 109.06 90.00 90.00
Positions (direct):
La: 0.500 0.000 0.000
Nd: 0.000 0.000 0.500
Nd: 0.500 0.500 0.500
Nd: 0.000 0.500 0.000
Te: 0.000 0.253 0.253
Te: 0.500 0.748 0.252
Te: 0.000 0.747 0.747
Te: 0.500 0.252 0.748

Computed properties:
For the uncorrected energy, the calculation gives -43.5 eV/cell. The formation energy from raw total energies is -1.47 eV/atom.

First-principles (PBE-GGA) data for an optimized crystal structure of NdEr2Cd6, as listed in the Alexandria database.

a b c (Å): 3.422 8.664 8.664
angles (deg): 120.00 90.00 90.00
Positions (direct):
Nd: 0.000 0.000 0.000
Er: 0.000 0.333 0.667
Er: 0.000 0.667 0.333
Cd: 0.500 0.337 0.337
Cd: 0.500 0.663 0.663
Cd: 0.500 0.000 0.663
Cd: 0.500 0.663 0.000
Cd: 0.500 0.337 0.000
Cd: 0.500 0.000 0.337

Computed properties:
For the uncorrected energy, the calculation gives -22.2 eV/cell. As for the formation enthalpy at 0 K: -0.31 eV per atom.

First-principles (PBE-GGA) data for an optimized crystal structure of PrNd2Sn, as listed in the Alexandria database.

a b c (Å): 3.690 3.690 11.463
angles (deg): 80.74 80.74 60.00
Positions (direct):
Pr: 0.500 0.500 0.500
Nd: 0.077 0.077 0.769
Nd: 0.257 0.257 0.230
Sn: 0.666 0.666 0.001

Computed properties:
For the uncorrected energy, the calculation gives -19.1 eV/cell. As for the formation enthalpy at 0 K: -0.20 eV per atom.

First-principles (PBE-GGA) data for an optimized crystal structure of KIn2FeGe, as listed in the Alexandria database.

a b c (Å): 5.097 5.097 4.657
angles (deg): 90.00 90.00 90.00
Positions (direct):
K: 0.500 0.500 0.500
Ge: 0.000 0.000 0.500
Fe: 0.000 0.000 0.000
In: 0.000 0.500 0.000
In: 0.500 0.000 0.000

Computed properties:
For the uncorrected energy, the calculation gives -19.6 eV/cell. As for the formation enthalpy at 0 K: 0.01 eV per atom.

First-principles (PBE-GGA) data for an optimized crystal structure of Mn3Br, as listed in the Alexandria database.

a b c (Å): 5.315 5.315 5.315
angles (deg): 146.43 125.34 65.70
Positions (direct):
Br: 0.997 0.000 0.997
Mn: 0.528 0.500 0.028
Mn: 0.910 0.255 0.655
Mn: 0.399 0.745 0.655

Computed properties:
For the uncorrected energy, the calculation gives -26.6 eV/cell. The formation energy from raw total energies is 0.65 eV/atom.

The highest uncorrected energy belongs to which entry?
PrNd2Sn